VASP calculation (GGA-PBEsol) on Tl2Te3O7 after structural relaxation.

Summary:
- E_form (uncorrected) (eV/atom) = -0.972
- calculated total energy (eV per atom) = -5.35
- total magnetic moment (μB/f.u.) = 0.00

a = 6.792 Å, b = 7.354 Å, c = 9.850 Å
α = 92.41°, β = 110.14°, γ = 111.79°
Fractional positions:
Tl 0.124 0.348 0.172
Tl 0.301 0.536 0.568
Tl 0.699 0.464 0.432
Tl 0.876 0.652 0.828
Te 0.134 0.852 0.229
Te 0.258 0.009 0.662
Te 0.481 0.713 0.979
Te 0.519 0.287 0.021
Te 0.742 0.991 0.338
Te 0.866 0.148 0.771
O 0.067 0.972 0.377
O 0.101 0.732 0.630
O 0.178 0.648 0.324
O 0.239 0.664 0.042
O 0.314 0.024 0.873
O 0.333 0.394 0.879
O 0.448 0.049 0.306
O 0.552 0.951 0.694
O 0.667 0.606 0.121
O 0.686 0.976 0.127
O 0.761 0.336 0.958
O 0.822 0.352 0.676
O 0.899 0.268 0.370
O 0.933 0.028 0.623